# 1
The following is a DFT calculation (PBE) of a relaxed structure of TlZn2Pb.

Lattice parameters (Å, degrees): 3.748 3.646 7.776 65.03 90.00 90.00
Positions (direct):
Tl (0.500, 0.750, 0.750)
Pb (0.500, 0.250, 0.250)
Zn (0.000, 0.009, 0.992)
Zn (0.000, 0.491, 0.508)

Results
Mass density   9.3 Mg/m³
DFT total energy   -1.9709 eV per atom

***

# 2
The following is a DFT calculation (PBE) of a relaxed structure of TlZn2Pb.

Lattice parameters (Å, degrees): 3.404 3.404 8.233 90.00 90.00 90.00
Positions (direct):
Tl (0.500, 0.500, 0.796)
Zn (0.500, 0.500, 0.201)
Zn (0.000, 0.000, 0.054)
Pb (0.000, 0.000, 0.449)

Results
Mass density   9.4 Mg/m³
DFT total energy   -2.0468 eV per atom

***

# 3
The following is a DFT calculation (PBE) of a relaxed structure of TlZn2Pb.

Lattice parameters (Å, degrees): 3.958 5.547 4.462 90.00 90.00 90.00
Positions (direct):
Tl (0.000, 0.500, 0.500)
Pb (0.500, 0.000, 0.500)
Zn (0.000, 0.000, 0.000)
Zn (0.500, 0.500, 0.000)

Results
Mass density   9.2 Mg/m³
DFT total energy   -1.9527 eV per atom

***

# 4
The following is a DFT calculation (PBE) of a relaxed structure of TlZn2Pb.

Lattice parameters (Å, degrees): 4.443 3.981 5.706 70.89 90.00 90.00
Positions (direct):
Zn (0.500, 0.048, 0.263)
Zn (0.000, 0.199, 0.986)
Tl (0.500, 0.780, 0.820)
Pb (0.000, 0.473, 0.430)

Results
Mass density   9.4 Mg/m³
DFT total energy   -2.0314 eV per atom

***

# 5
The following is a DFT calculation (PBE) of a relaxed structure of TlZn2Pb2.

Lattice parameters (Å, degrees): 4.808 4.808 6.855 69.47 69.47 90.00
Positions (direct):
Zn (0.603, 0.603, 0.795)
Tl (0.000, 0.000, 0.000)
Pb (0.250, 0.750, 0.500)
Pb (0.750, 0.250, 0.500)
Zn (0.397, 0.397, 0.205)

Results
Mass density   9.0 Mg/m³
Relative energy among the computed polymorphs   47.0 meV/atom

***

# 6
The following is a DFT calculation (PBE) of a relaxed structure of TlZn2Pb2.

Lattice parameters (Å, degrees): 8.121 8.121 3.881 90.00 90.00 90.00
Positions (direct):
Tl (0.000, 0.000, 0.000)
Zn (0.615, 0.115, 0.000)
Tl (0.500, 0.500, 0.000)
Zn (0.115, 0.385, 0.000)
Zn (0.385, 0.885, 0.000)
Pb (0.683, 0.817, 0.500)
Pb (0.817, 0.317, 0.500)
Pb (0.183, 0.683, 0.500)
Zn (0.885, 0.615, 0.000)
Pb (0.317, 0.183, 0.500)

Results
Mass density   9.7 Mg/m³
Relative energy among the computed polymorphs   47.1 meV/atom

***

# 7
The following is a DFT calculation (PBE) of a relaxed structure of Tl2ZnPb2.

Lattice parameters (Å, degrees): 4.308 4.308 8.991 76.14 76.14 90.00
Positions (direct):
Pb (0.593, 0.593, 0.813)
Pb (0.407, 0.407, 0.187)
Zn (0.000, 0.000, 0.000)
Tl (0.250, 0.750, 0.500)
Tl (0.750, 0.250, 0.500)

Results
Mass density   9.4 Mg/m³
Relative energy among the computed polymorphs   148.6 meV/atom

***

# 8
The following is a DFT calculation (PBE) of a relaxed structure of TlZn2Pb.

Lattice parameters (Å, degrees): 5.287 5.287 3.456 89.47 89.47 94.48
Positions (direct):
Pb (0.500, 0.000, 0.500)
Tl (0.000, 0.500, 0.500)
Zn (0.500, 0.500, 0.000)
Zn (0.000, 0.000, 0.000)

Results
Mass density   9.4 Mg/m³
DFT total energy   -1.9598 eV per atom

***

# 9
The following is a DFT calculation (PBE) of a relaxed structure of TlZn2Pb.

Lattice parameters (Å, degrees): 5.189 5.189 5.189 60.00 60.00 60.00
Positions (direct):
Zn (0.750, 0.750, 0.750)
Pb (0.500, 0.500, 0.500)
Tl (0.250, 0.250, 0.250)
Zn (0.000, 0.000, 0.000)

Results
Mass density   9.1 Mg/m³
DFT total energy   -1.8697 eV per atom

***

# 10
The following is a DFT calculation (PBE) of a relaxed structure of Tl2Zn2Pb.

Lattice parameters (Å, degrees): 3.678 3.678 10.077 79.48 79.48 90.00
Positions (direct):
Tl (0.618, 0.618, 0.764)
Tl (0.382, 0.382, 0.236)
Pb (0.000, 0.000, 0.000)
Zn (0.750, 0.250, 0.500)
Zn (0.250, 0.750, 0.500)

Results
Mass density   9.4 Mg/m³
Relative energy among the computed polymorphs   0.0 meV/atom

***

# 11
The following is a DFT calculation (PBE) of a relaxed structure of TlZnPb.

Lattice parameters (Å, degrees): 5.957 5.957 6.135 101.34 101.34 126.52
Positions (direct):
Tl (0.342, 0.658, 0.000)
Zn (0.250, 0.750, 0.500)
Tl (0.658, 0.342, 0.000)
Zn (0.750, 0.250, 0.500)
Pb (0.156, 0.156, 0.312)
Pb (0.844, 0.844, 0.688)

Results
Mass density   10.1 Mg/m³
Relative energy among the computed polymorphs   0.0 meV/atom

***

# 12
The following is a DFT calculation (PBE) of a relaxed structure of TlZn2Pb.

Lattice parameters (Å, degrees): 6.049 6.049 6.049 138.39 138.39 60.30
Positions (direct):
Pb (0.500, 0.500, 0.000)
Zn (0.250, 0.750, 0.500)
Tl (0.750, 0.250, 0.500)
Zn (0.000, 0.000, 0.000)

Results
Mass density   9.3 Mg/m³
DFT total energy   -1.9539 eV per atom